No. 1
The following is a DFT calculation (PBE) of a relaxed Li2TaV2Se6 crystal.

Output
- Energy: -5.835 eV per atom
- Fermi-level density of states: 0.43 states/eV/atom
- Formation energy without anion corrections: -851 meV per atom
- Mass density: 5.949 g/cm³

abc: 6.0967 6.0967 6.9633
angles: 96.84 96.84 121.09
Sites, in units of the cell vectors:
Li 0.8266 0.1734 0.0000
Li 0.1734 0.8266 0.0000
Ta 0.0000 0.0000 0.5000
V 0.3697 0.6303 0.5000
V 0.6303 0.3697 0.5000
Se 0.7373 0.7373 0.7573
Se 0.0565 0.4097 0.7180
Se 0.2627 0.2627 0.2427
Se 0.4097 0.0565 0.7180
Se 0.9435 0.5903 0.2821
Se 0.5903 0.9435 0.2821

No. 2
The following is a DFT calculation (PBE) of a relaxed UH12N5F4 crystal.

Output
- Energy: -5.470 eV per atom
- Fermi-level density of states: 0.31 states/eV/atom
- Mass density: 2.790 g/cm³

abc: 9.2548 9.2548 11.0094
angles: 90.00 90.00 90.00
Site moments in Bohr magnetons follow the coordinates.
Sites, in units of the cell vectors:
U 0.0000 0.0000 0.2500  1.53
U 0.0000 0.0000 0.7500  1.53
U 0.5000 0.5000 0.7500  1.53
U 0.5000 0.5000 0.2500  1.53
H 0.7585 0.7896 0.3595  0.00
H 0.2415 0.7896 0.8595  0.00
H 0.7585 0.2104 0.8595  0.00
H 0.2415 0.2104 0.3595  0.00
H 0.2896 0.2585 0.8595  0.00
H 0.7104 0.2585 0.3595  0.00
H 0.2896 0.7415 0.3595  0.00
H 0.7104 0.7415 0.8595  0.00
H 0.7415 0.7104 0.6405  0.00
H 0.2585 0.7104 0.1405  0.00
H 0.7415 0.2896 0.1405  0.00
H 0.2585 0.2896 0.6405  0.00
H 0.2104 0.2415 0.1405  0.00
H 0.7896 0.2415 0.6405  0.00
H 0.2104 0.7585 0.6405  0.00
H 0.7896 0.7585 0.1405  0.00
H 0.6780 0.9429 0.3244  0.00
H 0.3220 0.9429 0.8244  0.00
H 0.6780 0.0571 0.8244  0.00
H 0.3220 0.0571 0.3244  0.00
H 0.4429 0.1780 0.8244  0.00
H 0.5571 0.1780 0.3244  0.00
H 0.4429 0.8220 0.3244  0.00
H 0.5571 0.8220 0.8244  0.00
H 0.8220 0.5571 0.6756  0.00
H 0.1780 0.5571 0.1756  0.00
H 0.8220 0.4429 0.1756  0.00
H 0.1780 0.4429 0.6756  0.00
H 0.0571 0.3220 0.1756  0.00
H 0.9429 0.3220 0.6756  0.00
H 0.0571 0.6780 0.6756  0.00
H 0.9429 0.6780 0.1756  0.00
H 0.7767 0.9293 0.4502  0.00
H 0.2233 0.9293 0.9502  0.00
H 0.7767 0.0707 0.9502  0.00
H 0.2233 0.0707 0.4502  0.00
H 0.4293 0.2767 0.9502  0.00
H 0.5707 0.2767 0.4502  0.00
H 0.4293 0.7233 0.4502  0.00
H 0.5707 0.7233 0.9502  0.00
H 0.7233 0.5707 0.5498  0.00
H 0.2767 0.5707 0.0498  0.00
H 0.7233 0.4293 0.0498  0.00
H 0.2767 0.4293 0.5498  0.00
H 0.0707 0.2233 0.0498  0.00
H 0.9293 0.2233 0.5498  0.00
H 0.0707 0.7767 0.5498  0.00
H 0.9293 0.7767 0.0498  0.00
N 0.7713 0.8997 0.3604  0.01
N 0.2287 0.8997 0.8604  0.01
N 0.7713 0.1003 0.8604  0.01
N 0.2287 0.1003 0.3604  0.01
N 0.3997 0.2713 0.8604  0.01
N 0.6003 0.2713 0.3604  0.01
N 0.3997 0.7287 0.3604  0.01
N 0.6003 0.7287 0.8604  0.01
N 0.7287 0.6003 0.6396  0.01
N 0.2713 0.6003 0.1396  0.01
N 0.7287 0.3997 0.1396  0.01
N 0.2713 0.3997 0.6396  0.01
N 0.1003 0.2287 0.1396  0.01
N 0.8997 0.2287 0.6396  0.01
N 0.1003 0.7713 0.6396  0.01
N 0.8997 0.7713 0.1396  0.01
N 0.0000 0.5000 0.2912  1.53
N 0.0000 0.5000 0.7912  1.53
N 0.5000 0.0000 0.7088  1.53
N 0.5000 0.0000 0.2088  1.53
F 0.9200 0.1589 0.3743  -0.01
F 0.0800 0.1589 0.8743  -0.01
F 0.9200 0.8411 0.8743  -0.01
F 0.0800 0.8411 0.3743  -0.01
F 0.6589 0.4200 0.8743  -0.01
F 0.3411 0.4200 0.3743  -0.01
F 0.6589 0.5800 0.3743  -0.01
F 0.3411 0.5800 0.8743  -0.01
F 0.5800 0.3411 0.6257  -0.01
F 0.4200 0.3411 0.1257  -0.01
F 0.5800 0.6589 0.1257  -0.01
F 0.4200 0.6589 0.6257  -0.01
F 0.8411 0.0800 0.1257  -0.01
F 0.1589 0.0800 0.6257  -0.01
F 0.8411 0.9200 0.6257  -0.01
F 0.1589 0.9200 0.1257  -0.01

No. 3
The following is a DFT calculation (PBE) of a relaxed SrZrIN2 crystal.

Output
- Energy: -4.217 eV per atom
- Fermi-level density of states: 1.46 states/eV/atom
- Formation energy without anion corrections: 1469 meV per atom
- Mass density: 4.721 g/cm³
- Distance to the lowest polymorph of the same formula: 8.96 eV per formula unit

abc: 4.4714 4.4714 5.8722
angles: 90.00 90.00 90.00
Sites, in units of the cell vectors:
I 0.0000 0.0000 0.5000
Sr 0.0000 0.0000 0.0000
Zr 0.5000 0.5000 0.5000
N 0.0000 0.5000 0.0000
N 0.5000 0.0000 0.0000

No. 4
The following is a DFT calculation (PBE) of a relaxed ZrCoMo2 crystal.

Output
- Energy: -9.222 eV per atom
- Fermi-level density of states: 1.25 states/eV/atom
- Mass density: 8.769 g/cm³
- Distance to the lowest polymorph of the same formula: 0.50 eV per formula unit

abc: 4.6934 3.7149 3.7149
angles: 90.00 90.00 90.00
Sites, in units of the cell vectors:
Co 0.5000 0.0000 0.5000
Mo 0.0000 0.0000 0.0000
Mo 0.0000 0.5000 0.5000
Zr 0.5000 0.5000 0.0000

No. 5
The following is a DFT calculation (PBE) of a relaxed KTl2Br2 crystal.

Output
- Energy: -2.611 eV per atom
- Fermi-level density of states: 0.50 states/eV/atom
- Formation energy without anion corrections: -776 meV per atom
- Mass density: 5.517 g/cm³

abc: 8.4745 8.4745 5.0933
angles: 90.00 90.00 90.00
Sites, in units of the cell vectors:
Tl 0.1563 0.6563 0.5000
Tl 0.6563 0.8437 0.5000
Tl 0.8437 0.3437 0.5000
Tl 0.3437 0.1563 0.5000
K 0.0000 0.0000 0.0000
K 0.5000 0.5000 0.0000
Br 0.3389 0.8389 0.0000
Br 0.8389 0.6611 0.0000
Br 0.6611 0.1611 0.0000
Br 0.1611 0.3389 0.0000

No. 6
The following is a DFT calculation (PBE) of a relaxed La6Tl2CoCu crystal.

Output
- Energy: -4.674 eV per atom
- Fermi-level density of states: 1.54 states/eV/atom
- Mass density: 6.942 g/cm³

abc: 7.7287 7.7287 7.7287
angles: 60.00 60.00 90.00
Sites, in units of the cell vectors:
La 0.2433 0.7567 0.0000
La 0.7567 0.7567 0.0000
La 0.2433 0.2433 0.5134
La 0.7567 0.2433 0.0000
La 0.2433 0.2433 0.0000
La 0.7567 0.7567 0.4866
Tl 0.2500 0.7500 0.5000
Tl 0.7500 0.2500 0.5000
Co 0.0000 0.0000 0.0000
Cu 0.5000 0.5000 0.0000

No. 7
The following is a DFT calculation (PBE) of a relaxed Sr3Li4Nb6O20 crystal.

Output
- Energy: -7.862 eV per atom
- Fermi-level density of states: 0.00 states/eV/atom
- Formation energy without anion corrections: -2642 meV per atom
- Mass density: 4.552 g/cm³

abc: 5.6802 5.6698 13.5247
angles: 89.86 101.97 89.86
Sites, in units of the cell vectors:
Sr 0.5602 0.9950 0.1555
Sr 0.4065 0.0048 0.8317
Sr 0.0568 0.5004 0.1547
Li 0.4957 0.7524 0.4849
Li 0.9957 0.7415 0.4853
Li 0.5124 0.2490 0.5188
Li 0.0141 0.2411 0.5196
Nb 0.8262 0.9889 0.6850
Nb 0.4855 0.5000 0.9942
Nb 0.6413 0.4927 0.3139
Nb 0.9874 0.9968 0.9937
Nb 0.1417 0.9998 0.3136
Nb 0.3269 0.5022 0.6843
O 0.9382 0.0349 0.8521
O 0.7803 0.7295 0.9949
O 0.9221 0.7380 0.3143
O 0.7763 0.9656 0.5431
O 0.2969 0.7928 0.9916
O 0.8878 0.2397 0.2831
O 0.5905 0.5451 0.1529
O 0.7352 0.4624 0.4552
O 0.6040 0.7531 0.7122
O 0.4233 0.7577 0.3155
O 0.0952 0.9508 0.1525
O 0.2326 0.0297 0.4550
O 0.7431 0.2258 0.0188
O 0.2494 0.2753 0.0223
O 0.3875 0.2563 0.2845
O 0.1159 0.7529 0.7094
O 0.4291 0.4568 0.8528
O 0.5956 0.2421 0.6856
O 0.2785 0.5269 0.5426
O 0.1073 0.2398 0.6842

No. 8
The following is a DFT calculation (PBE) of a relaxed PPb2IO4 crystal.

Output
- Energy: -5.953 eV per atom
- Fermi-level density of states: 0.00 states/eV/atom
- Formation energy without anion corrections: -1677 meV per atom
- Mass density: 6.203 g/cm³

abc: 8.8491 8.8570 9.3902
angles: 67.77 90.00 90.00
Sites, in units of the cell vectors:
P 0.0499 0.7326 0.9552
P 0.5499 0.7674 0.0448
P 0.9501 0.2674 0.0448
P 0.4501 0.2326 0.9552
Pb 0.2932 0.4569 0.1459
Pb 0.7932 0.0431 0.8541
Pb 0.7068 0.5431 0.8541
Pb 0.2068 0.9569 0.1459
Pb 0.3267 0.9836 0.7274
Pb 0.8267 0.5164 0.2726
Pb 0.6733 0.0164 0.2726
Pb 0.1733 0.4836 0.7274
I 0.9274 0.7400 0.4958
I 0.4274 0.7600 0.5042
I 0.0726 0.2600 0.5042
I 0.5726 0.2400 0.4958
O 0.0572 0.6382 0.1342
O 0.5572 0.8618 0.8658
O 0.9428 0.3618 0.8658
O 0.4428 0.1382 0.1342
O 0.1125 0.2657 0.1048
O 0.6125 0.2343 0.8952
O 0.8875 0.7343 0.8952
O 0.3875 0.7657 0.1048
O 0.6689 0.8507 0.1147
O 0.1689 0.6493 0.8853
O 0.3311 0.1493 0.8853
O 0.8311 0.3507 0.1147
O 0.4005 0.4135 0.9159
O 0.9005 0.0865 0.0841
O 0.5995 0.5865 0.0841
O 0.0995 0.9135 0.9159

No. 9
The following is a DFT calculation (PBE) of a relaxed Li2PuGeO8 crystal.

Output
- Energy: -6.618 eV per atom
- Fermi-level density of states: 0.54 states/eV/atom
- Formation energy without anion corrections: -1414 meV per atom
- Mass density: 5.213 g/cm³

abc: 5.7784 5.7784 5.7784
angles: 113.94 113.94 100.86
Site moments in Bohr magnetons follow the coordinates.
Sites, in units of the cell vectors:
Li 0.7500 0.2500 0.5000  0.00
Li 0.5000 0.5000 0.0000  0.00
Pu 0.2500 0.7500 0.5000  -0.32
Ge 0.0000 0.0000 0.0000  -0.05
O 0.3356 0.0534 0.2822  0.42
O 0.2995 0.5084 0.2089  0.08
O 0.2995 0.0906 0.7911  0.08
O 0.7712 0.0534 0.7178  0.42
O 0.9094 0.7005 0.2089  0.08
O 0.9466 0.2288 0.2822  0.42
O 0.9466 0.6644 0.7178  0.42
O 0.4916 0.7005 0.7911  0.08

No. 10
The following is a DFT calculation (PBE) of a relaxed Pm5GaPd2 crystal.

Output
- Energy: -5.189 eV per atom
- Fermi-level density of states: 0.98 states/eV/atom
- Mass density: 7.823 g/cm³

abc: 7.9781 7.9781 8.7744
angles: 117.04 117.04 90.00
Sites, in units of the cell vectors:
Pm 0.5163 0.6938 0.7101
Pm 0.8062 0.9837 0.2899
Pm 0.0000 0.0000 0.0000
Pm 0.5000 0.5000 0.0000
Pm 0.1938 0.0163 0.7101
Pm 0.6938 0.1938 0.7101
Pm 0.0163 0.5163 0.7101
Pm 0.3062 0.8062 0.2899
Pm 0.9837 0.4837 0.2899
Pm 0.4837 0.3062 0.2899
Ga 0.7500 0.7500 0.5000
Ga 0.2500 0.2500 0.5000
Pd 0.1306 0.3694 0.0000
Pd 0.6306 0.1306 0.0000
Pd 0.3694 0.8694 0.0000
Pd 0.8694 0.6306 0.0000

No. 11
The following is a DFT calculation (PBE) of a relaxed SrInSi2 crystal.

Output
- Energy: -3.722 eV per atom
- Fermi-level density of states: 0.60 states/eV/atom
- Formation energy without anion corrections: 94 meV per atom
- Mass density: 3.767 g/cm³

abc: 4.8933 4.8933 10.1309
angles: 76.02 76.02 90.00
Sites, in units of the cell vectors:
Sr 0.5000 0.5000 0.0000
Sr 0.2500 0.7500 0.5000
Si 0.8742 0.1250 0.2500
Si 0.8758 0.6250 0.2500
Si 0.3750 0.1258 0.7500
Si 0.8750 0.1242 0.7500
In 0.0000 0.0000 0.0000
In 0.7500 0.2500 0.5000

No. 12
The following is a DFT calculation (PBE) of a relaxed BiPd3 crystal.

Output
- Energy: -4.947 eV per atom
- Fermi-level density of states: 0.55 states/eV/atom
- Mass density: 11.977 g/cm³

abc: 3.1543 5.2836 5.2836
angles: 116.14 101.48 101.48
Sites, in units of the cell vectors:
Bi 0.0000 0.5000 0.5000
Pd 0.0000 0.0000 0.0000
Pd 0.5000 0.0000 0.5000
Pd 0.5000 0.5000 0.0000

- The highest energy belongs to which entry?
  KTl2Br2

- Among the records above, which one has the highest Fermi-level density of states?
  La6Tl2CoCu

- What is the mass density in the eighth record?
  6.203 g/cm³